15
Lattice="6.8797 0.0000 0.0000 -3.4398 5.9580 0.0000 0.0000 0.0000 8.7024" Properties=species:S:1:pos:R:3 comment="GGA-PBE Pu3GaSb2Pd9, optimized geometry" e_form_raw_ev_per_fu=-4.08 pbc="T T T"
Pu 0.0000 0.0000 0.0000
Pu 0.0000 3.9720 6.3863
Pu 3.4398 1.9860 2.3161
Ga 0.0000 0.0000 4.3512
Sb 0.0000 3.9720 1.7958
Sb 3.4398 1.9860 6.9066
Pd -1.7199 2.9790 0.0000
Pd 0.0000 1.5608 2.4078
Pd -2.0881 5.1775 2.4078
Pd 1.3517 0.7804 6.2946
Pd 3.4398 0.0000 0.0000
Pd 1.7199 2.9790 0.0000
Pd 2.0881 5.1775 2.4078
Pd 5.5279 0.7804 6.2946
Pd 3.4398 4.3971 6.2946

=====

10
Lattice="4.1176 0.0000 0.0000 0.0000 4.1176 0.0000 0.0000 0.0000 9.8562" Properties=species:S:1:pos:R:3 comment="GGA-PBE Tb2CuSi4Rh3, optimized geometry" e_form_raw_ev_per_fu=-9.03 pbc="T T T"
Tb 0.0000 2.0588 2.4249
Tb 2.0588 0.0000 7.4312
Cu 0.0000 0.0000 4.9281
Si 0.0000 0.0000 0.0000
Si 0.0000 2.0588 6.2259
Si 2.0588 0.0000 3.6302
Si 2.0588 2.0588 0.0000
Rh 0.0000 2.0588 8.6043
Rh 2.0588 0.0000 1.2519
Rh 2.0588 2.0588 4.9281

=====

8
Lattice="-4.5517 4.5517 3.1354 4.5517 -4.5517 3.1354 4.5517 4.5517 -3.1354" Properties=species:S:1:pos:R:3 comment="GGA-PBE BaCd2Se, optimized geometry" e_form_raw_ev_per_fu=-2.45 pbc="T T T"
Ba 0.0000 0.0000 0.0000
Ba 0.0000 4.5517 1.5677
Cd 2.2759 -1.8344 2.3515
Cd 2.7173 2.2759 0.7838
Cd 2.2759 6.3861 -0.7838
Cd 1.8344 2.2759 3.9192
Se 4.5517 0.0000 1.5677
Se 0.0000 0.0000 3.1354

=====

54
Lattice="8.9564 0.0000 0.0000 0.0000 8.9564 0.0000 0.0000 0.0000 8.9564" Properties=species:S:1:pos:R:3 comment="GGA-PBE Na4Al3Si3BH4O12, optimized geometry" total_energy_ev_per_atom=-6.4048 pbc="T T T"
Na 1.5739 1.5739 1.5739
Na 1.5739 7.3825 7.3825
Na 2.9043 2.9043 6.0521
Na 2.9043 6.0521 2.9043
Na 6.0521 2.9043 2.9043
Na 6.0521 6.0521 6.0521
Na 7.3825 1.5739 7.3825
Na 7.3825 7.3825 1.5739
Al 0.0000 2.2391 4.4782
Al 0.0000 6.7173 4.4782
Al 2.2391 4.4782 0.0000
Al 4.4782 0.0000 2.2391
Al 4.4782 0.0000 6.7173
Al 6.7173 4.4782 0.0000
Si 0.0000 4.4782 2.2391
Si 0.0000 4.4782 6.7173
Si 2.2391 0.0000 4.4782
Si 4.4782 2.2391 0.0000
Si 4.4782 6.7173 0.0000
Si 6.7173 0.0000 4.4782
B 0.0000 0.0000 0.0000
B 4.4782 4.4782 4.4782
H 0.7102 0.7102 8.2462
H 0.7102 8.2462 0.7102
H 3.7680 3.7680 3.7680
H 3.7680 5.1884 5.1884
H 5.1884 3.7680 5.1884
H 5.1884 5.1884 3.7680
H 8.2462 0.7102 0.7102
H 8.2462 8.2462 8.2462
O 0.5724 3.2343 5.8132
O 0.5724 5.7221 3.1432
O 1.2439 3.9058 1.3350
O 1.2439 5.0506 7.6214
O 1.3350 1.2439 3.9058
O 1.3350 7.7125 5.0506
O 3.1432 0.5724 5.7221
O 3.1432 8.3840 3.2343
O 3.2343 3.1432 8.3840
O 3.2343 5.8132 0.5724
O 3.9058 1.3350 1.2439
O 3.9058 7.6214 7.7125
O 5.0506 1.3350 7.7125
O 5.0506 7.6214 1.2439
O 5.7221 3.1432 0.5724
O 5.7221 5.8132 8.3840
O 5.8132 0.5724 3.2343
O 5.8132 8.3840 5.7221
O 7.6214 1.2439 5.0506
O 7.6214 7.7125 3.9058
O 7.7125 3.9058 7.6214
O 7.7125 5.0506 1.3350
O 8.3840 3.2343 3.1432
O 8.3840 5.7221 5.8132

=====

8
Lattice="3.3746 0.0000 0.0000 1.6825 3.1044 0.0000 0.0764 1.5945 9.6843" Properties=species:S:1:pos:R:3 comment="GGA-PBE MgB2S, optimized geometry" e_above_lowest_polymorph_mev_per_atom=105.5 e_form_raw_ev_per_fu=-1.10 pbc="T T T"
Mg 0.0000 0.0000 0.0000
Mg 1.6866 0.9434 3.1935
B 1.7003 1.3191 7.0995
B 2.5688 2.8435 7.7081
B 3.3884 1.6741 6.4566
B 4.2108 2.8526 7.6855
S 3.3703 2.0820 1.4595
S 3.3740 1.9947 4.6249

=====

4
Lattice="1.4769 0.8527 9.1980 -1.4769 0.8527 9.1980 0.0000 -1.7054 9.1980" Properties=species:S:1:pos:R:3 comment="GGA-PBE ScPt2Au, optimized geometry" e_form_ev_per_atom=-0.4638 pbc="T T T"
Sc 0.0000 0.0000 0.0000
Pt 0.0000 0.0000 7.0611
Pt 0.0000 0.0000 20.5330
Au 0.0000 0.0000 13.7970

=====

4
Lattice="1.5769 -2.3689 0.0000 1.5769 2.3689 0.0000 0.0000 0.0000 9.7374" Properties=species:S:1:pos:R:3 comment="GGA-PBE LaRe2W, optimized geometry" e_above_lowest_polymorph_mev_per_atom=217.7 e_form_ev_per_atom=0.5539 pbc="T T T"
La 0.0000 0.0000 0.0000
Re 0.0000 0.0000 4.8081
Re 1.5769 0.0000 2.6971
W 1.5769 0.0000 6.9201

=====

19
Lattice="4.3449 2.5085 4.2462 -4.3449 2.5085 4.2462 0.0000 -5.0171 4.2462" Properties=species:S:1:pos:R:3 comment="GGA-PBE Pr2Nd2Ni15, optimized geometry" e_form_ev_per_atom=-0.1313 pbc="T T T"
Pr 0.0000 0.0000 1.7858
Pr 0.0000 0.0000 10.9529
Nd 0.0000 0.0000 4.9453
Nd 0.0000 0.0000 7.7933
Ni -2.1724 -1.2543 4.2462
Ni 0.0000 -2.5997 4.1389
Ni -2.2514 1.2998 4.1389
Ni -1.3643 -2.3630 6.3693
Ni -2.7286 0.0000 6.3693
Ni -2.2514 -1.2998 8.5997
Ni -2.1724 1.2543 8.4924
Ni 1.3643 -2.3630 6.3693
Ni 0.0000 2.5085 4.2462
Ni -1.3643 2.3630 6.3693
Ni 2.2514 1.2998 4.1389
Ni 2.7286 0.0000 6.3693
Ni 1.3643 2.3630 6.3693
Ni 2.2514 -1.2998 8.5997
Ni 0.0000 2.5997 8.5997